Here is an optimized crystal structure of Dy3TmCd from Alexandria. Energies are from PBE-GGA.

Calculated values
Space-group type: C2/m (12)
DFT formation energy in meV per atom: -129.3
Density in g cm⁻³: 8.75
Energy relative to the lowest polymorph listed for this composition in meV per atom: 0
Crystal system: monoclinic

Cell: 3.622 5.460 14.878 Å, 89.05 96.99 90.00°
Positions (direct):
Dy: 0.130 0.762 0.260
Dy: 0.052 0.271 0.104
Cd: 0.539 0.773 0.077
Dy: 0.338 0.742 0.677
Dy: 0.662 0.258 0.323
Tm: 0.267 0.248 0.534
Dy: 0.948 0.729 0.896
Cd: 0.461 0.227 0.923
Tm: 0.733 0.752 0.466
Dy: 0.870 0.238 0.740



Here is an optimized crystal structure of KReS2N from Alexandria. Energies are from PBE-GGA.

Calculated values
Space-group type: P4/mmm (123)
Formation energy without anion corrections in kJ/mol of formula units: -94
Density in g cm⁻³: 5.54
Energy relative to the lowest polymorph listed for this composition in meV per atom: 0
Crystal system: tetragonal

Cell: 4.876 4.876 3.826 Å, 90.00 90.00 90.00°
Positions (direct):
S: 0.500 0.000 0.000
K: 0.500 0.500 0.500
Re: 0.000 0.000 0.000
N: 0.000 0.000 0.500
S: 0.000 0.500 0.000



Here is an optimized crystal structure of HfMo2Se from Alexandria. Energies are from PBE-GGA.

Calculated values
Space-group type: I-42d (122)
Formation energy without anion corrections in kJ/mol of formula units: 90
Density in g cm⁻³: 10.18
Crystal system: tetragonal

Cell: 3.755 3.755 10.724 Å, 79.92 79.92 90.00°
Positions (direct):
Mo: 0.375 0.377 0.750
Se: 0.250 0.750 0.500
Mo: 0.623 0.125 0.250
Hf: 0.000 0.000 0.000
Mo: 0.127 0.625 0.250
Se: 0.500 0.500 0.000
Mo: 0.875 0.873 0.750
Hf: 0.750 0.250 0.500



Here is an optimized crystal structure of Pm2YHo3S6 from Alexandria. Energies are from PBE-GGA.

Calculated values
Space-group type: C2/m (12)
Formation energy without anion corrections in kJ/mol of formula units: -2318
Density in g cm⁻³: 6.82
Crystal system: monoclinic

Cell: 6.814 6.814 6.849 Å, 99.52 99.52 120.18°
Positions (direct):
S: 0.913 0.586 0.740
S: 0.240 0.240 0.738
S: 0.414 0.087 0.260
Ho: 0.831 0.169 0.500
S: 0.087 0.414 0.260
S: 0.586 0.913 0.740
Ho: 0.169 0.831 0.500
Pm: 0.333 0.667 0.000
S: 0.760 0.760 0.262
Ho: 0.500 0.500 0.500
Pm: 0.667 0.333 0.000
Y: 0.000 0.000 0.000



Here is an optimized crystal structure of Na2LiI4 from Alexandria. Energies are from PBE-GGA.

Calculated values
Space-group type: I4/mmm (139)
Formation energy without anion corrections in kJ/mol of formula units: -587
Density in g cm⁻³: 3.58
Crystal system: tetragonal

Cell: 5.713 5.713 8.933 Å, 108.65 108.65 90.00°
Each line ends with the local moment (μB).
Positions (direct):
Li: 0.000 0.000 0.000  0.00
I: 0.500 0.000 0.000  0.04
I: 0.802 0.802 0.604  0.24
I: 0.000 0.500 0.000  0.04
Na: 0.613 0.613 0.227  0.00
Na: 0.387 0.387 0.773  0.00
I: 0.198 0.198 0.396  0.24



Here is an optimized crystal structure of U6P2CS3 from Alexandria. Energies are from PBE-GGA.

Calculated values
Space-group type: C2/m (12)
Formation energy without anion corrections in kJ/mol of formula units: -1172
Density in g cm⁻³: 11.08
Crystal system: monoclinic

Cell: 3.820 7.719 8.543 Å, 102.42 102.92 90.00°
Each line ends with the local moment (μB).
Positions (direct):
U: 0.653 0.074 0.306  1.73
S: 0.174 0.836 0.349  -0.06
S: 0.500 0.500 0.000  -0.06
P: 0.164 0.332 0.328  -0.07
U: 0.333 0.415 0.666  1.78
U: 0.347 0.926 0.694  1.73
S: 0.826 0.164 0.651  -0.06
P: 0.836 0.668 0.672  -0.07
U: 0.996 0.221 0.992  1.93
U: 0.004 0.779 0.008  1.93
C: 0.500 0.000 0.000  -0.12
U: 0.667 0.585 0.334  1.78